1.
## LiOsRh2 (PBE)

Data for LiOsRh2 after structural relaxation.

a = 2.742 Å, b = 4.540 Å, c = 4.427 Å
α = 90.00°, β = 90.00°, γ = 90.00°
Atoms (fractional coordinates):
Rh: 0.000 0.000 0.000
Rh: 0.500 0.500 0.000
Li: 0.500 0.000 0.500
Os: 0.000 0.500 0.500

Calculated values
energy relative to the elements	0.254	eV per atom
density of states at the Fermi level	3.83	states/eV/cell
distance to the lowest polymorph of the same formula	0.2683	eV per atom
space group	Pmmm


2.
## Tm2TcI (PBE)

Data for Tm2TcI after structural relaxation.

a = 3.518 Å, b = 3.518 Å, c = 8.084 Å
α = 90.00°, β = 90.00°, γ = 90.00°
Atoms (fractional coordinates):
I: 0.500 0.500 0.500
Tc: 0.500 0.500 0.000
Tm: 0.000 0.000 0.195
Tm: 0.000 0.000 0.805

Calculated values
formation energy from raw total energies	-399	meV per atom
density of states at the Fermi level	1.91	states/eV/cell
distance to the lowest polymorph of the same formula	0.0000	eV per atom
space group	P4/mmm


3.
## Li2ErMgSn2 (PBE)

Data for Li2ErMgSn2 after structural relaxation.

a = 4.682 Å, b = 4.682 Å, c = 6.802 Å
α = 90.00°, β = 90.00°, γ = 120.00°
Atoms (fractional coordinates):
Li: 0.333 0.667 0.693
Li: 0.667 0.333 0.307
Er: 0.000 0.000 0.000
Mg: 0.000 0.000 0.500
Sn: 0.667 0.333 0.761
Sn: 0.333 0.667 0.239

Calculated values
energy relative to the elements	-0.481	eV per atom
density of states at the Fermi level	1.63	states/eV/cell
space group	P-3m1


4.
## KTi2Ge (PBE)

Data for KTi2Ge after structural relaxation.

a = 4.871 Å, b = 4.871 Å, c = 10.065 Å
α = 76.00°, β = 76.00°, γ = 90.00°
Atoms (fractional coordinates):
Ti: 0.375 0.108 0.750
Ti: 0.858 0.625 0.250
Ti: 0.875 0.142 0.750
Ti: 0.892 0.125 0.250
Ge: 0.000 0.000 0.000
Ge: 0.750 0.250 0.500
K: 0.500 0.500 0.000
K: 0.250 0.750 0.500

Calculated values
energy relative to the elements	0.698	eV per atom
density of states at the Fermi level	11.24	states/eV/cell
space group	I-42d


5.
## ScUCN (PBE)

Data for ScUCN after structural relaxation.

a = 3.363 Å, b = 3.363 Å, c = 5.863 Å
α = 73.33°, β = 73.33°, γ = 60.00°
Last column: magnetic moment on the atom in μB.
Atoms (fractional coordinates):
Sc: 0.692 0.692 0.923  0.01
C: 0.445 0.445 0.665  -0.01
N: 0.945 0.945 0.164  -0.01
U: 0.194 0.194 0.419  0.28

Calculated values
formation energy from raw total energies	-951	meV per atom
density of states at the Fermi level	3.65	states/eV/cell
space group	R3m


6.
## PrAsI (PBE)

Data for PrAsI after structural relaxation.

a = 5.226 Å, b = 5.970 Å, c = 9.925 Å
α = 98.99°, β = 104.52°, γ = 89.97°
Atoms (fractional coordinates):
As: 0.780 0.772 0.563
As: 0.220 0.228 0.437
Pr: 0.212 0.725 0.421
Pr: 0.788 0.275 0.579
I: 0.931 0.617 0.864
I: 0.069 0.383 0.136

Calculated values
formation energy from raw total energies	-816	meV per atom
density of states at the Fermi level	0.54	states/eV/cell
distance to the lowest polymorph of the same formula	0.3675	eV per atom
space group	P-1


7.
## LiAcZn3Ag (PBE)

Data for LiAcZn3Ag after structural relaxation.

a = 6.108 Å, b = 6.070 Å, c = 7.331 Å
α = 114.46°, β = 90.00°, γ = 90.00°
Atoms (fractional coordinates):
Zn: 0.750 0.876 0.752
Zn: 0.500 0.287 0.000
Zn: 0.250 0.124 0.248
Zn: 0.500 0.713 0.000
Zn: 0.000 0.713 0.000
Zn: 0.000 0.287 0.000
Ag: 0.250 0.352 0.704
Ag: 0.750 0.648 0.296
Ac: 0.750 0.292 0.584
Ac: 0.250 0.708 0.416
Li: 0.250 0.929 0.857
Li: 0.750 0.071 0.143

Calculated values
energy relative to the elements	-0.126	eV per atom
density of states at the Fermi level	5.48	states/eV/cell
space group	Cmcm


8.
## Pr2ErAg4 (PBE)

Data for Pr2ErAg4 after structural relaxation.

a = 5.387 Å, b = 5.387 Å, c = 7.548 Å
α = 110.91°, β = 110.91°, γ = 90.00°
Atoms (fractional coordinates):
Ag: 0.388 0.888 0.776
Ag: 0.612 0.112 0.224
Ag: 0.888 0.388 0.776
Ag: 0.112 0.612 0.224
Er: 0.000 0.000 0.000
Pr: 0.720 0.720 0.439
Pr: 0.280 0.280 0.561

Calculated values
energy relative to the elements	-0.101	eV per atom
density of states at the Fermi level	6.72	states/eV/cell
space group	I4/mmm


9.
## Ta2MnGaH (PBE)

Data for Ta2MnGaH after structural relaxation.

a = 4.142 Å, b = 4.142 Å, c = 3.774 Å
α = 90.00°, β = 90.00°, γ = 90.00°
Last column: magnetic moment on the atom in μB.
Atoms (fractional coordinates):
Ta: 0.000 0.500 0.000  -0.13
Ta: 0.500 0.000 0.000  -0.13
Mn: 0.000 0.000 0.500  1.94
Ga: 0.500 0.500 0.500  -0.03
H: 0.000 0.000 0.000  0.00

Calculated values
density of states at the Fermi level	3.28	states/eV/cell
uncorrected energy	-7.95	eV/atom
space group	P4/mmm


10.
## AcHo3Pb2 (PBE)

Data for AcHo3Pb2 after structural relaxation.

a = 4.800 Å, b = 10.681 Å, c = 9.475 Å
α = 123.08°, β = 90.00°, γ = 102.99°
Last column: magnetic moment on the atom in μB.
Atoms (fractional coordinates):
Ac: 0.884 0.767 0.915  0.01
Ac: 0.116 0.233 0.085  0.01
Ho: 0.363 0.727 0.214  0.08
Ho: 0.693 0.386 0.499  0.16
Ho: 0.307 0.614 0.501  0.16
Ho: 0.637 0.273 0.786  0.08
Ho: 0.061 0.122 0.431  0.13
Ho: 0.939 0.878 0.569  0.13
Pb: 0.238 0.476 0.778  0.00
Pb: 0.515 0.031 0.185  0.00
Pb: 0.762 0.524 0.222  0.00
Pb: 0.485 0.969 0.815  0.00

Calculated values
energy relative to the elements	-0.315	eV per atom
density of states at the Fermi level	15.02	states/eV/cell
space group	C2/m


11.
## NiBr3N (PBE)

Data for NiBr3N after structural relaxation.

a = 4.815 Å, b = 4.815 Å, c = 4.815 Å
α = 90.00°, β = 90.00°, γ = 90.00°
Atoms (fractional coordinates):
Br: 0.000 0.000 0.500
Br: 0.500 0.000 0.000
Br: 0.000 0.500 0.000
N: 0.500 0.500 0.500
Ni: 0.000 0.000 0.000

Calculated values
formation energy from raw total energies	1388	meV per atom
density of states at the Fermi level	6.94	states/eV/cell
distance to the lowest polymorph of the same formula	1.0278	eV per atom
space group	Pm-3m


12.
## Ac5SnTe8 (PBE)

Data for Ac5SnTe8 after structural relaxation.

a = 8.642 Å, b = 8.642 Å, c = 8.642 Å
α = 109.70°, β = 109.02°, γ = 109.70°
Atoms (fractional coordinates):
Ac: 0.011 0.380 0.134
Ac: 0.500 0.000 0.500
Ac: 0.754 0.620 0.631
Ac: 0.866 0.877 0.246
Ac: 0.369 0.123 0.989
Te: 0.136 0.751 0.028
Te: 0.637 0.403 0.881
Te: 0.478 0.597 0.234
Te: 0.766 0.244 0.363
Te: 0.972 0.107 0.723
Te: 0.119 0.756 0.522
Te: 0.616 0.893 0.864
Te: 0.277 0.249 0.384
Sn: 0.250 0.500 0.750

Calculated values
formation energy from raw total energies	-1394	meV per atom
density of states at the Fermi level	6.98	states/eV/cell
space group	I-4


| no. | magnetic moment (μB/atom) |
| --- | --- |
| 1 | 0.0000 |
| 2 | 0.0000 |
| 3 | 0.0000 |
| 4 | 0.0001 |
| 5 | 0.0702 |
| 6 | 0.0000 |
| 7 | 0.0000 |
| 8 | 0.0000 |
| 9 | 0.3258 |
| 10 | 0.0934 |
| 11 | 0.0000 |
| 12 | 0.0010 |